# Ta8Os (PBEsol, relaxed)
data_Ta8Os
_symmetry_space_group_name_H-M 'P 1'
_symmetry_Int_Tables_number 1
_cell_length_a 3.2203
_cell_length_b 7.0986
_cell_length_c 7.0986
_cell_angle_alpha 87.05
_cell_angle_beta 76.89
_cell_angle_gamma 76.89
loop_
_symmetry_equiv_pos_as_xyz
'x,y,z'
loop_
_atom_site_label
_atom_site_fract_x
_atom_site_fract_y
_atom_site_fract_z
Ta1 0.6634 0.6732 0.0000
Ta2 0.3366 0.0000 0.3268
Ta3 0.0000 0.6668 0.3332
Ta4 0.6634 0.0000 0.6732
Ta5 0.6668 0.3332 0.3332
Os1 0.0000 0.0000 0.0000
Ta6 0.3332 0.6668 0.6668
Ta7 0.3366 0.3268 0.0000
Ta8 0.0000 0.3332 0.6668
# Density, g/cm³: 17.67
# Magnetization, μB per cell: 0.000
# E, eV per atom: -12.6535


# GaCoSb3 (PBEsol, relaxed)
data_GaCoSb3
_symmetry_space_group_name_H-M 'P 1'
_symmetry_Int_Tables_number 1
_cell_length_a 4.8953
_cell_length_b 4.8953
_cell_length_c 4.8953
_cell_angle_alpha 90.00
_cell_angle_beta 90.00
_cell_angle_gamma 90.00
loop_
_symmetry_equiv_pos_as_xyz
'x,y,z'
loop_
_atom_site_label
_atom_site_fract_x
_atom_site_fract_y
_atom_site_fract_z
Co1 0.0000 0.0000 0.0000
Sb1 0.0000 0.0000 0.5000
Ga1 0.5000 0.5000 0.5000
Sb2 0.5000 0.0000 0.0000
Sb3 0.0000 0.5000 0.0000
# Density, g/cm³: 6.99
# Magnetization, μB per cell: 0.003
# Formation energy without anion corrections, eV/atom: 0.352


# La2Au (PBEsol, relaxed)
data_La2Au
_symmetry_space_group_name_H-M 'P 1'
_symmetry_Int_Tables_number 1
_cell_length_a 6.1260
_cell_length_b 6.1260
_cell_length_c 6.1260
_cell_angle_alpha 107.16
_cell_angle_beta 107.16
_cell_angle_gamma 114.19
loop_
_symmetry_equiv_pos_as_xyz
'x,y,z'
loop_
_atom_site_label
_atom_site_fract_x
_atom_site_fract_y
_atom_site_fract_z
La1 0.3269 0.8269 0.1537
Au1 0.2500 0.2500 0.0000
La2 0.8269 0.6731 0.5000
Au2 0.7500 0.7500 0.0000
La3 0.6731 0.1731 0.8463
La4 0.1731 0.3269 0.5000
# Density, g/cm³: 8.96
# Magnetization, μB per cell: 0.000
# E, eV per atom: -5.3633


# KCdAu (PBEsol, relaxed)
data_KCdAu
_symmetry_space_group_name_H-M 'P 1'
_symmetry_Int_Tables_number 1
_cell_length_a 3.5989
_cell_length_b 3.8912
_cell_length_c 6.4380
_cell_angle_alpha 107.59
_cell_angle_beta 106.23
_cell_angle_gamma 90.00
loop_
_symmetry_equiv_pos_as_xyz
'x,y,z'
loop_
_atom_site_label
_atom_site_fract_x
_atom_site_fract_y
_atom_site_fract_z
K1 0.3373 0.3373 0.6746
Cd1 0.6164 0.6164 0.2327
Au1 0.0463 0.0463 0.0927
# Density, g/cm³: 7.04
# Magnetization, μB per cell: 0.000
# Energy relative to the lowest polymorph listed for this composition, meV per atom: 17


Repeat the fourth record exactly.
# KCdAu (PBEsol, relaxed)
data_KCdAu
_symmetry_space_group_name_H-M 'P 1'
_symmetry_Int_Tables_number 1
_cell_length_a 3.5989
_cell_length_b 3.8912
_cell_length_c 6.4380
_cell_angle_alpha 107.59
_cell_angle_beta 106.23
_cell_angle_gamma 90.00
loop_
_symmetry_equiv_pos_as_xyz
'x,y,z'
loop_
_atom_site_label
_atom_site_fract_x
_atom_site_fract_y
_atom_site_fract_z
K1 0.3373 0.3373 0.6746
Cd1 0.6164 0.6164 0.2327
Au1 0.0463 0.0463 0.0927
# Density, g/cm³: 7.04
# Magnetization, μB per cell: 0.000
# Energy relative to the lowest polymorph listed for this composition, meV per atom: 17